No. 1
# MgZn4O5 (meta-GGA SCAN, PBEsol geometry)
data_MgZn4O5
_symmetry_space_group_name_H-M 'P 1'
_symmetry_Int_Tables_number 1
_cell_length_a 3.250
_cell_length_b 3.250
_cell_length_c 25.960
_cell_angle_alpha 90.00
_cell_angle_beta 90.00
_cell_angle_gamma 120.00
loop_
_symmetry_equiv_pos_as_xyz
'x,y,z'
loop_
_atom_site_label
_atom_site_fract_x
_atom_site_fract_y
_atom_site_fract_z
Zn1 0.000 0.000 0.625
Zn2 0.000 0.000 0.224
Zn3 0.667 0.333 0.324
Zn4 0.000 0.000 0.824
Zn5 0.000 0.000 0.424
Zn6 0.000 0.000 0.023
Zn7 0.667 0.333 0.525
Zn8 0.667 0.333 0.124
Mg1 0.667 0.333 0.723
Mg2 0.667 0.333 0.923
O1 0.667 0.333 0.999
O2 0.000 0.000 0.900
O3 0.667 0.333 0.401
O4 0.000 0.000 0.100
O5 0.000 0.000 0.300
O6 0.000 0.000 0.501
O7 0.000 0.000 0.701
O8 0.667 0.333 0.800
O9 0.667 0.333 0.601
O10 0.667 0.333 0.200
# DFT total energy (eV per atom): -10.893
# Energy relative to the elements, uncorrected (meV/atom): -1874

---

No. 2
# Ca3Pm (meta-GGA SCAN, PBEsol geometry)
data_Ca3Pm
_symmetry_space_group_name_H-M 'P 1'
_symmetry_Int_Tables_number 1
_cell_length_a 5.944
_cell_length_b 5.944
_cell_length_c 5.944
_cell_angle_alpha 60.00
_cell_angle_beta 60.00
_cell_angle_gamma 60.00
loop_
_symmetry_equiv_pos_as_xyz
'x,y,z'
loop_
_atom_site_label
_atom_site_fract_x
_atom_site_fract_y
_atom_site_fract_z
Ca1 0.500 0.500 0.500
Ca2 0.250 0.250 0.250
Ca3 0.750 0.750 0.750
Pm1 0.000 0.000 0.000
# DFT total energy (eV per atom): -18.118
# Formation energy (eV per atom): 0.126
# DOS at the Fermi energy (states/eV/f.u.): 5.4

---

No. 3
# TlSi3 (meta-GGA SCAN, PBEsol geometry)
data_TlSi3
_symmetry_space_group_name_H-M 'P 1'
_symmetry_Int_Tables_number 1
_cell_length_a 4.191
_cell_length_b 4.191
_cell_length_c 4.191
_cell_angle_alpha 90.00
_cell_angle_beta 90.00
_cell_angle_gamma 90.00
loop_
_symmetry_equiv_pos_as_xyz
'x,y,z'
loop_
_atom_site_label
_atom_site_fract_x
_atom_site_fract_y
_atom_site_fract_z
Tl1 0.000 0.000 0.000
Si1 0.000 0.500 0.500
Si2 0.500 0.500 0.000
Si3 0.500 0.000 0.500
# DFT total energy (eV per atom): -24.629
# Distance to the lowest polymorph of the same formula (kJ per mole of atoms): 1.32
# Energy relative to the elements, uncorrected (meV/atom): 972
# DOS at the Fermi energy (states/eV/f.u.): 2.4

---

No. 4
# Y3Rh4 (meta-GGA SCAN, PBEsol geometry)
data_Y3Rh4
_symmetry_space_group_name_H-M 'P 1'
_symmetry_Int_Tables_number 1
_cell_length_a 5.731
_cell_length_b 7.419
_cell_length_c 7.419
_cell_angle_alpha 113.61
_cell_angle_beta 104.92
_cell_angle_gamma 104.92
loop_
_symmetry_equiv_pos_as_xyz
'x,y,z'
loop_
_atom_site_label
_atom_site_fract_x
_atom_site_fract_y
_atom_site_fract_z
Rh1 0.389 0.153 0.451
Rh2 0.611 0.847 0.549
Rh3 0.062 0.451 0.298
Rh4 0.764 0.702 0.153
Rh5 0.938 0.549 0.702
Rh6 0.500 0.000 0.000
Rh7 0.236 0.298 0.847
Rh8 0.000 0.000 0.000
Y1 0.885 0.137 0.398
Y2 0.513 0.398 0.260
Y3 0.115 0.863 0.602
Y4 0.487 0.602 0.740
Y5 0.252 0.740 0.137
Y6 0.748 0.260 0.863
# DFT total energy (eV per atom): -32.036
# Formation energy (eV per atom): -0.805
# DOS at the Fermi energy (states/eV/f.u.): 4.7

---

No. 5
# Ti3HgB (meta-GGA SCAN, PBEsol geometry)
data_Ti3HgB
_symmetry_space_group_name_H-M 'P 1'
_symmetry_Int_Tables_number 1
_cell_length_a 4.262
_cell_length_b 4.262
_cell_length_c 4.262
_cell_angle_alpha 90.00
_cell_angle_beta 90.00
_cell_angle_gamma 90.00
loop_
_symmetry_equiv_pos_as_xyz
'x,y,z'
loop_
_atom_site_label
_atom_site_fract_x
_atom_site_fract_y
_atom_site_fract_z
Ti1 0.000 0.000 0.500
Ti2 0.500 0.000 0.000
Ti3 0.000 0.500 0.000
Hg1 0.500 0.500 0.500
B1 0.000 0.000 0.000
# DFT total energy (eV per atom): -25.170
# Formation energy (eV per atom): -0.433
# DOS at the Fermi energy (states/eV/f.u.): 2.3

---

No. 6
# Cd2GaCuS4 (meta-GGA SCAN, PBEsol geometry)
data_Cd2GaCuS4
_symmetry_space_group_name_H-M 'P 1'
_symmetry_Int_Tables_number 1
_cell_length_a 3.897
_cell_length_b 6.734
_cell_length_c 7.545
_cell_angle_alpha 115.74
_cell_angle_beta 104.97
_cell_angle_gamma 90.00
loop_
_symmetry_equiv_pos_as_xyz
'x,y,z'
loop_
_atom_site_label
_atom_site_fract_x
_atom_site_fract_y
_atom_site_fract_z
Cd1 0.507 0.185 0.014
Cd2 0.003 0.652 0.006
Cu1 0.746 0.070 0.491
S1 0.921 0.246 0.841
S2 0.702 0.367 0.404
S3 0.427 0.763 0.853
S4 0.194 0.867 0.389
Ga1 0.251 0.601 0.502
# DFT total energy (eV per atom): -17.004
# Energy relative to the elements, uncorrected (meV/atom): -643
# DOS at the Fermi energy (states/eV/f.u.): 0.0